DFT (GGA+U) results for an optimized crystal structure of NdCoB5O10.

Cell lengths 8.6226, 7.5904, 12.4427 Å; angles 90.00, 130.60, 90.00 degrees
Closest atoms and distances in Å follow each position.
Sites, in units of the cell vectors:
O  0.6796  0.8734  0.4910  2 B 1.36-1.51
O  0.5555  0.1524  0.3688  2 B 1.44-1.46
O  0.9735  0.7797  0.0119  2 B 1.39-1.45
O  0.5691  0.3482  0.5694  1 B 1.37
O  0.0265  0.2797  0.4881  2 B 1.39-1.45
O  0.1175  0.0440  0.8830  1 B 1.34
O  0.3204  0.3734  0.0090  2 B 1.36-1.51
O  0.6795  0.4149  0.1913  2 B 1.38-1.47
O  0.7897  0.7173  0.2609  2 B 1.48-1.49
O  0.9097  0.3903  0.0858  2 B 1.47-1.49
O  0.7897  0.7827  0.7609  2 B 1.48-1.49
O  0.3204  0.1266  0.5090  2 B 1.36-1.51
O  0.0903  0.8903  0.4142  2 B 1.47-1.49
O  0.9097  0.1097  0.5858  2 B 1.47-1.49
O  0.3194  0.4666  0.6336  2 B 1.37-1.48
O  0.1175  0.4560  0.3830  1 B 1.34
O  0.4445  0.6524  0.1312  2 B 1.44-1.46
O  0.0903  0.6097  0.9142  2 B 1.47-1.49
O  0.6806  0.9666  0.8664  2 B 1.37-1.48
O  0.6796  0.6266  0.9910  2 B 1.36-1.51
O  0.2103  0.2173  0.2391  2 B 1.48-1.49
O  0.0265  0.2203  0.9881  2 B 1.39-1.45
O  0.2243  0.4789  0.1435  2 B 1.49
O  0.4309  0.8482  0.9306  1 B 1.37
O  0.2103  0.2827  0.7391  2 B 1.48-1.49
O  0.6806  0.5334  0.3664  2 B 1.37-1.48
O  0.3194  0.0334  0.1336  2 B 1.37-1.48
O  0.3205  0.5851  0.8087  2 B 1.38-1.47
O  0.8825  0.5440  0.6170  1 B 1.34
O  0.4309  0.6518  0.4306  1 B 1.37
O  0.2243  0.0211  0.6435  2 B 1.49
O  0.7757  0.9789  0.3565  2 B 1.49
O  0.5691  0.1518  0.0694  1 B 1.37
O  0.3205  0.9149  0.3087  2 B 1.38-1.47
O  0.4445  0.8476  0.6312  2 B 1.44-1.46
O  0.5555  0.3476  0.8688  2 B 1.44-1.46
O  0.8825  0.9560  0.1170  1 B 1.34
O  0.7757  0.5211  0.8565  2 B 1.49
O  0.6795  0.0851  0.6913  2 B 1.38-1.47
O  0.9735  0.7203  0.5119  2 B 1.39-1.45
B  0.9099  0.6740  0.8916  4 O 1.45-1.49
B  0.3516  0.0791  0.2629  4 O 1.46-1.48
B  0.5158  0.1865  0.5863  3 O 1.36-1.38
B  0.6484  0.5791  0.2371  4 O 1.46-1.48
B  0.7288  0.0349  0.4477  4 O 1.44-1.51
B  0.2712  0.5349  0.0523  4 O 1.44-1.51
B  0.6484  0.9209  0.7372  4 O 1.46-1.48
B  0.1560  0.4059  0.5020  3 O 1.34-1.39
B  0.2712  0.9651  0.5523  4 O 1.44-1.51
B  0.0901  0.3260  0.1084  4 O 1.45-1.49
B  0.1560  0.0941  0.0020  3 O 1.34-1.39
B  0.9099  0.8260  0.3916  4 O 1.45-1.49
B  0.8440  0.5941  0.4980  3 O 1.34-1.39
B  0.8440  0.9059  0.9980  3 O 1.34-1.39
B  0.3516  0.4209  0.7628  4 O 1.46-1.48
B  0.5158  0.3135  0.0863  3 O 1.36-1.38
B  0.0901  0.1740  0.6084  4 O 1.45-1.49
B  0.4842  0.6865  0.9137  3 O 1.36-1.38
B  0.7288  0.4651  0.9477  4 O 1.44-1.51
B  0.4842  0.8135  0.4137  3 O 1.36-1.38
Nd  0.0547  0.8160  0.7342  7 O 2.33-2.58
Nd  0.0547  0.6840  0.2342  7 O 2.33-2.58
Nd  0.9453  0.1840  0.2658  7 O 2.33-2.58
Nd  0.9453  0.3160  0.7658  7 O 2.33-2.58
Co  0.4689  0.4092  0.3723  6 O 2.05-2.24
Co  0.4689  0.0908  0.8723  6 O 2.05-2.24
Co  0.5311  0.9092  0.1277  6 O 2.05-2.24
Co  0.5311  0.5908  0.6277  6 O 2.05-2.24

**Uncorrected energy**: -7.926 eV/atom